No. 1
{"formula": "InSn2Te", "functional": "PBE-GGA", "state": "relaxed", "raw_formation_energy_mev_per_atom": 63, "dos_ef_per_ev_fu": 1.89, "lattice": [[1.001, -4.235, 3.219], [-1.489, 0.143, 5.202], [-4.080, -3.106, 1.734]], "species": ["Sn", "Sn", "In", "Te"], "frac_coords": [[0.750, 0.750, 0.750], [0.250, 0.250, 0.250], [0.000, 0.000, 0.000], [0.500, 0.500, 0.500]]}

No. 2
{"formula": "InSnTe", "functional": "PBE-GGA", "state": "relaxed", "raw_formation_energy_mev_per_atom": -80, "dos_ef_per_ev_fu": 1.37, "lattice": [[4.101, 0.018, 1.030], [2.115, 6.197, 0.396], [1.200, 0.829, 3.981]], "species": ["Sn", "In", "Te"], "frac_coords": [[0.410, 0.437, 0.238], [0.858, 0.091, 0.686], [0.633, 0.763, 0.460]]}